Computed, not measured: a relaxed structure of LiTe2Pd3 at the PBE level of DFT.

The structure in extended XYZ format:
```
12
Lattice="4.232 0.000 0.000 -2.116 7.845 -1.016 0.000 -4.525 8.206" Properties=species:S:1:pos:R:3 pbc="T T T"
Li 2.116 2.285 5.799
Li 0.000 1.035 1.391
Te 2.116 -3.273 6.926
Te 0.000 6.593 0.264
Te 2.116 3.071 1.892
Te 0.000 0.249 5.298
Pd 0.000 2.565 4.035
Pd 2.116 4.535 4.224
Pd 2.116 -1.316 5.117
Pd 0.000 4.636 2.073
Pd 0.000 -1.215 2.965
Pd 2.116 0.755 3.154
```

- M_tot (μB per atom) = 0.000
- formation energy (no corrections) (eV/atom) = -0.432